# 1
Material: KLi2Co
Method: DFT, PBE
State: relaxed

Structure (CIF):
```
data_KLi2Co
_chemical_formula_sum 'K1 Li2 Co1'
_space_group_name_H-M_alt 'P 1'
_space_group_IT_number 1
_cell_length_a 3.290
_cell_length_b 3.290
_cell_length_c 8.322
_cell_angle_alpha 90.00
_cell_angle_beta 90.00
_cell_angle_gamma 89.92
loop_
_space_group_symop_operation_xyz
'x,y,z'
loop_
_atom_site_label
_atom_site_type_symbol
_atom_site_fract_x
_atom_site_fract_y
_atom_site_fract_z
_atom_site_occupancy
Co1 Co 0.500 0.500 0.250 1
K1 K 0.500 0.500 0.750 1
Li1 Li 0.000 0.000 0.096 1
Li2 Li 0.000 0.000 0.404 1
```

Its uncorrected energy is -9.90 eV per formula unit. As for the volume: 90.1 Å³/cell. The total magnetic moment is 0.297 μB/atom.

# 2
Material: ReAs2Rh
Method: DFT, PBE
State: relaxed

Structure (CIF):
```
data_ReAs2Rh
_chemical_formula_sum 'Re1 As2 Rh1'
_space_group_name_H-M_alt 'P 1'
_space_group_IT_number 1
_cell_length_a 3.123
_cell_length_b 3.126
_cell_length_c 6.904
_cell_angle_alpha 63.10
_cell_angle_beta 90.00
_cell_angle_gamma 90.00
loop_
_space_group_symop_operation_xyz
'x,y,z'
loop_
_atom_site_label
_atom_site_type_symbol
_atom_site_fract_x
_atom_site_fract_y
_atom_site_fract_z
_atom_site_occupancy
Re1 Re 0.500 0.250 0.250 1
As1 As 0.000 0.992 0.007 1
As2 As 0.000 0.508 0.493 1
Rh1 Rh 0.500 0.750 0.750 1
```

Its uncorrected energy is -28.83 eV per formula unit. As for the volume: 60.1 Å³/cell. The total magnetic moment is 0.000 μB/atom.

# 3
Material: Pu2Al4PdPt3
Method: DFT, PBE
State: relaxed

Structure (CIF):
```
data_Pu2Al4PdPt3
_chemical_formula_sum 'Pu2 Al4 Pd1 Pt3'
_space_group_name_H-M_alt 'P 1'
_space_group_IT_number 1
_cell_length_a 4.233
_cell_length_b 4.233
_cell_length_c 10.516
_cell_angle_alpha 90.00
_cell_angle_beta 90.00
_cell_angle_gamma 90.00
loop_
_space_group_symop_operation_xyz
'x,y,z'
loop_
_atom_site_label
_atom_site_type_symbol
_atom_site_fract_x
_atom_site_fract_y
_atom_site_fract_z
_atom_site_occupancy
Pu1 Pu 0.500 0.000 0.249 1
Pu2 Pu 0.000 0.500 0.751 1
Al1 Al 0.500 0.500 0.000 1
Al2 Al 0.000 0.000 0.000 1
Al3 Al 0.500 0.000 0.628 1
Al4 Al 0.000 0.500 0.372 1
Pd1 Pd 0.500 0.500 0.500 1
Pt1 Pt 0.000 0.000 0.500 1
Pt2 Pt 0.500 0.000 0.865 1
Pt3 Pt 0.000 0.500 0.135 1
```

Its uncorrected energy is -75.66 eV per formula unit. As for the volume: 188.4 Å³/cell. The total magnetic moment is 1.140 μB/atom.

# 4
Material: Tl2CrAs
Method: DFT, PBE
State: relaxed

Structure (CIF):
```
data_Tl2CrAs
_chemical_formula_sum 'Tl2 Cr1 As1'
_space_group_name_H-M_alt 'P 1'
_space_group_IT_number 1
_cell_length_a 5.003
_cell_length_b 5.003
_cell_length_c 5.003
_cell_angle_alpha 60.00
_cell_angle_beta 60.00
_cell_angle_gamma 60.00
loop_
_space_group_symop_operation_xyz
'x,y,z'
loop_
_atom_site_label
_atom_site_type_symbol
_atom_site_fract_x
_atom_site_fract_y
_atom_site_fract_z
_atom_site_occupancy
Cr1 Cr 0.000 0.000 0.000 1
Tl1 Tl 0.250 0.250 0.250 1
Tl2 Tl 0.750 0.750 0.750 1
As1 As 0.500 0.500 0.500 1
```

Its uncorrected energy is -14.96 eV per formula unit. As for the volume: 88.6 Å³/cell. The total magnetic moment is 0.094 μB/atom.

# 5
Material: AcPr2Co
Method: DFT, PBE
State: relaxed

Structure (CIF):
```
data_AcPr2Co
_chemical_formula_sum 'Ac2 Pr4 Co2'
_space_group_name_H-M_alt 'P 1'
_space_group_IT_number 1
_cell_length_a 3.864
_cell_length_b 6.560
_cell_length_c 10.210
_cell_angle_alpha 90.00
_cell_angle_beta 90.00
_cell_angle_gamma 107.13
loop_
_space_group_symop_operation_xyz
'x,y,z'
loop_
_atom_site_label
_atom_site_type_symbol
_atom_site_fract_x
_atom_site_fract_y
_atom_site_fract_z
_atom_site_occupancy
Ac1 Ac 0.410 0.820 0.250 1
Ac2 Ac 0.590 0.180 0.750 1
Pr1 Pr 0.143 0.285 0.425 1
Pr2 Pr 0.857 0.715 0.575 1
Pr3 Pr 0.857 0.715 0.925 1
Pr4 Pr 0.143 0.285 0.075 1
Co1 Co 0.733 0.466 0.250 1
Co2 Co 0.267 0.534 0.750 1
```

Its uncorrected energy is -20.86 eV per formula unit. As for the volume: 247.3 Å³/cell. The total magnetic moment is 0.000 μB/atom.

# 6
Material: ScTlOs3
Method: DFT, PBE
State: relaxed

Structure (CIF):
```
data_ScTlOs3
_chemical_formula_sum 'Sc1 Tl1 Os3'
_space_group_name_H-M_alt 'P 1'
_space_group_IT_number 1
_cell_length_a 4.886
_cell_length_b 4.886
_cell_length_c 4.886
_cell_angle_alpha 90.00
_cell_angle_beta 90.00
_cell_angle_gamma 90.00
loop_
_space_group_symop_operation_xyz
'x,y,z'
loop_
_atom_site_label
_atom_site_type_symbol
_atom_site_fract_x
_atom_site_fract_y
_atom_site_fract_z
_atom_site_occupancy
Sc1 Sc 0.500 0.500 0.500 1
Tl1 Tl 0.000 0.000 0.000 1
Os1 Os 0.000 0.500 0.000 1
Os2 Os 0.000 0.000 0.500 1
Os3 Os 0.500 0.000 0.000 1
```

Its uncorrected energy is -29.63 eV per formula unit. As for the volume: 116.7 Å³/cell. The total magnetic moment is 0.179 μB/atom.